Entry 1:
Here is RbInSe2 at its PBEsol-relaxed geometry from the Alexandria database. Energies are from SCAN.

ΔE_f (raw) ... -1.0246 eV/atom
Space-group type ... C2/c (15)

a = 6.800 Å, b = 6.929 Å, c = 6.929 Å
α = 99.18°, β = 110.56°, γ = 110.56°
Fractional coordinates of all 8 atoms:
Se 0.651 0.319 0.068
Se 0.849 0.932 0.681
Se 0.151 0.068 0.319
Se 0.349 0.681 0.932
Rb 0.750 0.381 0.619
Rb 0.250 0.619 0.381
In 0.250 0.012 0.988
In 0.750 0.988 0.012

Entry 2:
Here is RbInSe2 at its PBEsol-relaxed geometry from the Alexandria database. Energies are from SCAN.

ΔE_f (raw) ... -1.0252 eV/atom
Space-group type ... I-42d (122)

a = 7.037 Å, b = 7.037 Å, c = 7.037 Å
α = 101.69°, β = 113.50°, γ = 113.50°
Fractional coordinates of all 8 atoms:
Se 0.079 0.704 0.125
Se 0.921 0.046 0.625
Se 0.421 0.375 0.296
Se 0.579 0.875 0.954
Rb 0.000 0.500 0.500
Rb 0.500 0.250 0.750
In 0.000 0.000 0.000
In 0.500 0.750 0.250

Entry 3:
Here is RbInTcSe2 at its PBEsol-relaxed geometry from the Alexandria database. Energies are from SCAN.

ΔE_f (raw) ... -0.2051 eV/atom
Space-group type ... P4/mmm (123)

a = 4.981 Å, b = 4.981 Å, c = 5.202 Å
α = 90.00°, β = 90.00°, γ = 90.00°
Last column: magnetic moment on the atom in μB.
Fractional coordinates of all 5 atoms:
Se 0.000 0.500 0.000  0.18
Se 0.500 0.000 0.000  0.18
Tc 0.000 0.000 0.000  1.57
Rb 0.500 0.500 0.500  0.00
In 0.000 0.000 0.500  -0.04

Entry 4:
Here is RbIn2Si2 at its PBEsol-relaxed geometry from the Alexandria database. Energies are from SCAN.

ΔE_f (raw) ... 0.1198 eV/atom
Space-group type ... I4/mmm (139)

a = 4.712 Å, b = 4.712 Å, c = 6.599 Å
α = 110.92°, β = 110.92°, γ = 90.00°
Fractional coordinates of all 5 atoms:
Si 0.250 0.750 0.500
Si 0.750 0.250 0.500
Rb 0.000 0.000 0.000
In 0.374 0.374 0.748
In 0.626 0.626 0.252

Entry 5:
Here is RbInSn at its PBEsol-relaxed geometry from the Alexandria database. Energies are from SCAN.

Space-group type ... P4/nmm (129)
DFT formation energy ... -0.312 eV per atom

a = 4.853 Å, b = 4.853 Å, c = 8.736 Å
α = 90.00°, β = 90.00°, γ = 90.00°
Fractional coordinates of all 6 atoms:
Sn 0.000 0.500 0.705
Sn 0.500 0.000 0.295
Rb 0.000 0.500 0.157
Rb 0.500 0.000 0.843
In 0.000 0.000 0.500
In 0.500 0.500 0.500

Entry 6:
Here is RbIn2Sn2 at its PBEsol-relaxed geometry from the Alexandria database. Energies are from SCAN.

Space-group type ... I4/mmm (139)
DFT formation energy ... -0.250 eV per atom

a = 5.237 Å, b = 5.237 Å, c = 6.805 Å
α = 112.63°, β = 112.63°, γ = 90.00°
Fractional coordinates of all 5 atoms:
Sn 0.374 0.374 0.748
Sn 0.626 0.626 0.252
Rb 0.000 0.000 0.000
In 0.250 0.750 0.500
In 0.750 0.250 0.500

Entry 7:
Here is Rb2SrIn2 at its PBEsol-relaxed geometry from the Alexandria database. Energies are from SCAN.

Space-group type ... I4/mmm (139)
DFT formation energy ... -0.074 eV per atom

a = 4.934 Å, b = 4.934 Å, c = 9.136 Å
α = 105.67°, β = 105.67°, γ = 90.00°
Fractional coordinates of all 5 atoms:
Sr 0.000 0.000 0.000
Rb 0.250 0.750 0.500
Rb 0.750 0.250 0.500
In 0.415 0.415 0.829
In 0.585 0.585 0.171

Entry 8:
Here is RbSrIn3 at its PBEsol-relaxed geometry from the Alexandria database. Energies are from SCAN.

Space-group type ... Pm-3m (221)
DFT formation energy ... 0.578 eV per atom

a = 5.970 Å, b = 5.970 Å, c = 5.970 Å
α = 90.00°, β = 90.00°, γ = 90.00°
Fractional coordinates of all 5 atoms:
Sr 0.500 0.500 0.500
Rb 0.000 0.000 0.000
In 0.000 0.500 0.000
In 0.000 0.000 0.500
In 0.500 0.000 0.000